First-principles (PBE-GGA) data for a geometry-optimized Tb3Pm2Mg8 structure, as listed in Alexandria via LeMat-Bulk.

Summary:
D(E_F)   1.15 states/eV/atom
VASP energy   -2.669 eV per atom
SG   R-3m

a b c (Å): 5.8755 5.8755 12.9140
angles (deg): 76.85 76.85 60.00
Element x y z (fractional)
Mg: 0.7256 0.7256 0.8232
Mg: 0.7293 0.7293 0.3133
Mg: 0.2707 0.7719 0.6867
Mg: 0.2744 0.2744 0.1768
Mg: 0.7293 0.2281 0.3133
Mg: 0.7719 0.2707 0.6867
Mg: 0.2281 0.7293 0.3133
Mg: 0.2707 0.2707 0.6867
Tb: 0.1840 0.1840 0.4481
Tb: 0.0000 0.0000 0.0000
Tb: 0.8160 0.8160 0.5519
Pm: 0.3609 0.3609 0.9173
Pm: 0.6391 0.6391 0.0827